Record 1
3
Lattice="0.000 2.322 5.619 2.020 0.000 5.619 2.020 2.322 0.000" Properties=species:S:1:pos:R:3 comment="BeAlSb, relaxed, DFT GGA-PBEsol" total_energy_ev_per_atom=-3.806 e_form_raw_ev_per_atom=0.4098 m_tot_mub_per_fu=0.00 pbc="T T T"
Be 0.000 0.000 0.000
Al 2.020 2.322 6.991
Sb 2.020 2.322 3.804



Record 2
4
Lattice="3.392 0.000 0.000 0.000 3.392 0.000 0.000 0.000 5.976" Properties=species:S:1:pos:R:3 comment="MgBe2Te, relaxed, DFT GGA-PBEsol" total_energy_ev_per_atom=-2.894 polymorph_energy_ev_per_fu=0.000 e_form_raw_ev_per_atom=0.4170 m_tot_mub_per_fu=0.00 pbc="T T T"
Mg 0.000 0.000 0.000
Be 0.000 0.000 3.363
Be 1.696 1.696 4.529
Te 1.696 1.696 2.154



Record 3
4
Lattice="-2.269 2.269 5.542 2.269 -2.269 5.542 2.269 2.269 -5.542" Properties=species:S:1:pos:R:3 comment="Ca2YSe, relaxed, DFT GGA-PBEsol" total_energy_ev_per_atom=-4.155 polymorph_energy_ev_per_fu=1.402 e_form_raw_ev_per_atom=-0.4206 m_tot_mub_per_fu=0.00 pbc="T T T"
Ca 0.000 0.000 0.000
Ca 0.000 2.269 2.771
Y 2.269 0.000 2.771
Se 0.000 0.000 5.542